{
  "formula": "PmAl2",
  "functional": "PBE",
  "state": "optimized geometry",
  "lattice_angstrom": [[-3.1344, -1.8651, 4.5529], [4.8873, -1.8028, 2.6261], [0.5541, 5.1026, 2.4718]],
  "species": ["Al", "Al", "Al", "Al", "Pm", "Pm"],
  "fractional_positions": [[0.3504, 0.3504, 0.0000], [0.6496, 0.6496, 0.0000], [0.8504, 0.1496, 0.5000], [0.1496, 0.8504, 0.5000], [0.0000, 0.0000, 0.0000], [0.5000, 0.5000, 0.5000]],
  "vol_a3_per_atom": 32.31,
  "total_energy_ev_per_atom": -3.552,
  "total_magnetization_mub_per_fu": 0.0,
  "e_above_lowest_polymorph_mev_per_atom": 1039,
  "space_group": "No. 136"
}